Here is a relaxed structure of Li2PmScF8 from Alexandria. Energies are from PBE.

Computed properties:
The calculation puts the formation energy without anion corrections at -3.61 eV/atom. The magnetization is 0.0 Bohr magnetons per cell.

a b c (Å): 3.821 5.207 7.491
angles (deg): 83.28 89.64 82.19
Element x y z (fractional)
Li1 0.062 0.045 0.299
Li2 0.938 0.955 0.701
Pm1 0.500 0.500 0.000
Sc1 0.500 0.500 0.500
F1 0.053 0.245 0.050
F2 0.060 0.263 0.516
F3 0.423 0.740 0.251
F4 0.435 0.747 0.706
F5 0.565 0.253 0.294
F6 0.577 0.260 0.749
F7 0.940 0.737 0.484
F8 0.947 0.755 0.950